1.
{"formula": "NiSbRh", "functional": "PBE", "state": "relaxed", "lattice": [[3.095, 0.000, 0.000], [0.000, 3.095, 0.000], [-1.547, -1.547, 6.336]], "species": ["Rh", "Ni", "Sb"], "frac_coords": [[0.141, 0.141, 0.283], [0.951, 0.951, 0.902], [0.758, 0.758, 0.516]], "sg": "No. 107", "formation_energy_uncorrected_ev_per_atom": 0.481}


2.
{"formula": "Pm3SeBr7", "functional": "PBE", "state": "relaxed", "lattice": [[7.012, 0.000, 0.000], [0.000, 8.602, 0.000], [0.000, -4.301, 7.449]], "species": ["Se", "Pm", "Pm", "Pm", "Br", "Br", "Br", "Br", "Br", "Br", "Br"], "frac_coords": [[0.558, 0.333, 0.667], [0.776, 0.494, 0.988], [0.776, 0.494, 0.506], [0.776, 0.012, 0.506], [0.560, 0.825, 0.175], [0.011, 0.174, 0.826], [0.011, 0.652, 0.826], [0.560, 0.350, 0.175], [0.015, 0.667, 0.333], [0.011, 0.174, 0.348], [0.560, 0.825, 0.650]], "sg": "No. 156", "formation_energy_uncorrected_ev_per_atom": -1.855}


3.
{"formula": "TlAg3H", "functional": "PBE", "state": "relaxed", "lattice": [[-4.640, 1.413, -2.413], [-2.756, -3.093, 3.490], [-0.468, 4.217, 3.368]], "species": ["Tl", "Ag", "Ag", "Ag", "H"], "frac_coords": [[0.000, 0.000, 0.000], [0.000, 0.500, 0.000], [0.000, 0.000, 0.500], [0.500, 0.000, 0.000], [0.500, 0.500, 0.500]], "dft_energy_ha_per_atom": -0.064, "sg": "No. 221"}


4.
{"formula": "Zr2Zn2Cd", "functional": "PBE", "state": "relaxed", "lattice": [[4.246, 0.000, 0.000], [0.000, 4.246, 0.000], [2.123, 2.123, 5.976]], "species": ["Cd", "Zn", "Zn", "Zr", "Zr"], "frac_coords": [[0.000, 0.000, 0.000], [0.597, 0.597, 0.806], [0.403, 0.403, 0.194], [0.250, 0.750, 0.500], [0.750, 0.250, 0.500]], "formation_enthalpy_0k_mev_per_atom": 165, "sg": "No. 139"}


5.
{"formula": "HoErSiHg", "functional": "PBE", "state": "relaxed", "lattice": [[-1.697, 2.022, -4.340], [-4.034, -2.019, -2.337], [-4.413, 2.514, -0.076]], "species": ["Si", "Er", "Ho", "Hg"], "frac_coords": [[0.250, 0.250, 0.250], [0.500, 0.500, 0.500], [0.000, 0.000, 0.000], [0.750, 0.750, 0.750]], "sg": "No. 216", "formation_energy_uncorrected_ev_per_atom": -0.449}


6.
{"formula": "TaGa", "functional": "PBE", "state": "relaxed", "lattice": [[-2.260, 5.093, -0.255], [-0.139, -0.315, -5.075], [-8.701, -3.838, 0.476]], "species": ["Ta", "Ta", "Ta", "Ta", "Ta", "Ta", "Ta", "Ta", "Ga", "Ga", "Ga", "Ga", "Ga", "Ga", "Ga", "Ga"], "frac_coords": [[0.873, 0.069, 0.224], [0.371, 0.786, 0.018], [0.129, 0.214, 0.518], [0.627, 0.931, 0.724], [0.629, 0.286, 0.482], [0.373, 0.431, 0.776], [0.127, 0.569, 0.276], [0.871, 0.714, 0.982], [0.369, 0.062, 0.270], [0.658, 0.224, 0.977], [0.131, 0.938, 0.770], [0.842, 0.776, 0.477], [0.869, 0.438, 0.730], [0.631, 0.562, 0.230], [0.342, 0.724, 0.523], [0.158, 0.276, 0.023]], "formation_enthalpy_0k_mev_per_atom": -188, "sg": "No. 19"}


DOS(E_F) per entry: 4.26 0.00 1.58 3.69 3.24 5.94 states/eV/cell